Entry from the Alexandria database: a geometry-optimized LaYBe2 structure (PBE-GGA).

Structure (POSCAR):
```
LaYBe2
1.0
-1.741 2.326 5.141
1.741 -2.326 5.141
1.741 2.326 -5.141
La Y Be
1 1 2
Cartesian
0.000 0.000 0.000
1.741 0.000 2.938
0.000 0.000 6.084
0.000 2.326 2.259
```

Summary:
- E: -4.546 eV/atom
- M_tot: 0.00 μB per formula unit
- Energy above the most stable polymorph in this dataset: 68 meV per atom
- Density: 4.900 g cm⁻³
- Energy of formation: 0.66 eV per formula unit
- Space group: Imm2, No. 44

***

Entry from the Alexandria database: a geometry-optimized ScAl2Cd structure (PBE-GGA).

Structure (POSCAR):
```
ScAl2Cd
1.0
1.648 -2.547 0.000
1.648 2.547 0.000
0.000 0.000 9.485
Sc Al Cd
1 2 1
Cartesian
0.000 0.000 0.000
1.648 0.000 2.358
1.648 0.000 7.127
0.000 0.000 4.743
```

Summary:
- E: -3.706 eV/atom
- M_tot: 0.00 μB per formula unit
- Density: 4.406 g cm⁻³
- Energy of formation: -0.09 eV per formula unit
- Space group: Cmmm, No. 65

***

Entry from the Alexandria database: a geometry-optimized K3Tl6Pd5 structure (PBE-GGA).

Structure (POSCAR):
```
K3Tl6Pd5
1.0
4.728 0.000 0.000
0.000 14.539 0.000
0.000 0.000 10.244
K Tl Pd
6 12 10
Cartesian
1.182 0.746 2.536
1.182 6.523 2.536
1.182 10.904 2.727
3.546 3.635 7.517
3.546 8.015 7.708
3.546 13.793 7.708
1.182 0.957 6.036
1.182 3.635 0.364
1.182 3.635 4.138
1.182 6.312 6.036
1.182 8.634 10.001
1.182 13.174 10.001
3.546 1.365 0.244
3.546 5.905 0.244
3.546 8.226 4.209
3.546 10.904 6.107
3.546 10.904 9.880
3.546 13.582 4.209
1.182 1.319 8.895
1.182 5.950 8.895
1.182 9.311 5.632
1.182 10.904 8.040
1.182 12.497 5.632
3.546 2.041 4.613
3.546 3.635 2.205
3.546 5.228 4.613
3.546 8.589 1.350
3.546 13.219 1.350
```

Summary:
- E: -3.253 eV/atom
- M_tot: 0.00 μB per formula unit
- Density: 8.846 g cm⁻³
- Energy of formation: -2.09 eV per formula unit
- Space group: Pmmn, No. 59

***

Entry from the Alexandria database: a geometry-optimized HfTl2I6 structure (PBE-GGA).

Structure (POSCAR):
```
HfTl2I6
1.0
7.964 0.000 0.000
0.000 8.693 0.000
-7.719 0.000 11.225
Hf Tl I
2 4 12
Cartesian
0.000 0.000 0.000
-3.860 4.347 5.613
-3.585 0.851 8.499
0.275 3.496 2.887
-0.029 5.197 8.339
3.830 7.842 2.726
-0.714 0.146 2.762
-4.574 4.201 8.374
1.408 6.257 0.513
-2.451 6.783 6.126
2.367 1.532 0.527
-1.492 2.815 6.140
1.737 5.878 5.085
-2.122 7.161 10.698
2.696 1.910 5.099
-1.163 2.436 10.712
4.819 4.492 2.851
0.959 8.547 8.463
```

Summary:
- Formation energy (no corrections): -78.5 kJ per mole of atoms
- E: -3.479 eV/atom
- M_tot: 0.00 μB per formula unit
- Energy above the most stable polymorph in this dataset: 0 meV per atom
- Density: 5.763 g cm⁻³
- Space group: P2_1/c, No. 14